# TlIn2As

A geometry-optimized TlIn2As structure (PBE, Alexandria).

Calculated total energy = -12.313 eV per formula unit
Energy relative to the elements = 0.180 eV/f.u.
Volume = 26.77 Å³/atom
D(E_F) = 1.014 states/eV/cell

a b c (Å): 6.4561 6.4561 5.2986
angles (deg): 66.15 66.15 32.32
Closest atoms and distances in Å follow each position.
Positions (direct):
Tl 0.7500 0.7500 0.7500  4 As 3.20, 4 In 3.55-3.58
In 0.9618 0.9618 0.0378  2 As 2.98, 4 In 3.31-3.32
In 0.5382 0.5382 0.4622  2 As 2.98, 4 In 3.31-3.32
As 0.2500 0.2500 0.2500  4 In 2.98, 4 Tl 3.20

***

# TlInAs2

A geometry-optimized TlInAs2 structure (PBE, Alexandria).

Calculated total energy = -13.495 eV per formula unit
Energy relative to the elements = 0.908 eV/f.u.
Volume = 24.44 Å³/atom
D(E_F) = 1.187 states/eV/cell

a b c (Å): 3.2559 3.2559 9.2217
angles (deg): 90.00 90.00 90.00
Closest atoms and distances in Å follow each position.
Positions (direct):
Tl 0.5000 0.5000 0.7500  4 Tl 3.26, 8 As 3.41
As 0.0000 0.0000 0.0232  4 In 3.11, 4 As 3.26, 4 Tl 3.41
As 0.0000 0.0000 0.4768  4 In 3.11, 4 As 3.26, 4 Tl 3.41
In 0.5000 0.5000 0.2500  8 As 3.11, 4 In 3.26

***

# TlIn2As

A geometry-optimized TlIn2As structure (PBE, Alexandria).

Calculated total energy = -12.055 eV per formula unit
Energy relative to the elements = 0.437 eV/f.u.
Volume = 26.75 Å³/atom
D(E_F) = 2.093 states/eV/cell

a b c (Å): 3.2925 3.2925 10.0806
angles (deg): 90.00 90.00 101.74
Closest atoms and distances in Å follow each position.
Positions (direct):
In 0.0000 0.0000 0.9751  4 As 2.97-3.32, 4 In 3.29
In 0.5000 0.5000 0.2359  8 In 3.29-3.67, 2 Tl 3.57
As 0.5000 0.5000 0.7652  4 In 2.97-3.32, 2 Tl 3.20, 4 As 3.29
Tl 0.0000 0.0000 0.5239  4 As 3.20-3.53, 4 Tl 3.29, 2 In 3.57

***

# Tl2InAs

A geometry-optimized Tl2InAs structure (PBE, Alexandria).

Calculated total energy = -11.504 eV per formula unit
Energy relative to the elements = 0.617 eV/f.u.
Volume = 27.28 Å³/atom
D(E_F) = 1.876 states/eV/cell

a b c (Å): 11.2712 11.2712 11.2712
angles (deg): 17.19 17.19 17.19
Closest atoms and distances in Å follow each position.
Positions (direct):
In 0.7500 0.7500 0.7500  6 In 3.37, 6 Tl 3.56
Tl 0.9937 0.9937 0.9937  3 As 3.22, 6 Tl 3.37, 3 In 3.56
Tl 0.5063 0.5063 0.5063  3 As 3.22, 6 Tl 3.37, 3 In 3.56
As 0.2500 0.2500 0.2500  6 Tl 3.22, 6 As 3.37

***

# TlIn2As

A geometry-optimized TlIn2As structure (PBE, Alexandria).

Calculated total energy = -12.137 eV per formula unit
Energy relative to the elements = 0.355 eV/f.u.
Volume = 27.05 Å³/atom
D(E_F) = 2.151 states/eV/cell

a b c (Å): 3.3368 3.3368 9.8893
angles (deg): 90.00 90.00 100.74
Closest atoms and distances in Å follow each position.
Positions (direct):
As 0.5000 0.5000 0.7500  8 In 2.99-3.32, 4 As 3.34
In 0.0000 0.0000 0.9629  4 As 2.99-3.32, 4 In 3.34
In 0.0000 0.0000 0.5371  4 As 2.99-3.32, 4 In 3.34
Tl 0.5000 0.5000 0.2500  4 Tl 3.34, 4 In 3.55

***

# TlIn2As

A geometry-optimized TlIn2As structure (PBE, Alexandria).

Calculated total energy = -12.130 eV per formula unit
Energy relative to the elements = 0.362 eV/f.u.
Volume = 26.37 Å³/atom
D(E_F) = 1.579 states/eV/cell

a b c (Å): 4.4302 4.8798 4.8798
angles (deg): 90.00 90.00 90.00
Closest atoms and distances in Å follow each position.
Positions (direct):
As 0.5000 0.0000 0.5000  8 In 3.30, 4 Tl 3.45
In 0.0000 0.5000 0.5000  4 Tl 3.30, 4 As 3.30, 4 In 3.45
In 0.0000 0.0000 0.0000  4 Tl 3.30, 4 As 3.30, 4 In 3.45
Tl 0.5000 0.5000 0.0000  8 In 3.30, 4 As 3.45

***

# TlInAs2

A geometry-optimized TlInAs2 structure (PBE, Alexandria).

Calculated total energy = -13.339 eV per formula unit
Energy relative to the elements = 1.065 eV/f.u.
Volume = 24.15 Å³/atom
D(E_F) = 1.987 states/eV/cell

a b c (Å): 3.9923 4.8296 5.0104
angles (deg): 90.00 90.00 90.00
Closest atoms and distances in Å follow each position.
Positions (direct):
Tl 0.0000 0.5000 0.5000  4 In 3.13, 8 As 3.20-3.48
In 0.5000 0.0000 0.5000  4 Tl 3.13, 8 As 3.20-3.48
As 0.0000 0.0000 0.0000  4 As 3.13, 4 In 3.20, 4 Tl 3.48
As 0.5000 0.5000 0.0000  4 As 3.13, 4 Tl 3.20, 4 In 3.48

***

# TlIn2As

A geometry-optimized TlIn2As structure (PBE, Alexandria).

Calculated total energy = -12.645 eV per formula unit
Energy relative to the elements = -0.152 eV/f.u.
Volume = 28.32 Å³/atom
D(E_F) = 1.437 states/eV/cell

a b c (Å): 7.9874 7.9874 7.9874
angles (deg): 30.06 30.06 30.06
Closest atoms and distances in Å follow each position.
Positions (direct):
Tl 0.2500 0.2500 0.2500  6 In 3.29
In 0.0154 0.0154 0.0154  3 As 2.85
In 0.4846 0.4846 0.4846  3 As 2.85
As 0.7500 0.7500 0.7500  6 In 2.85

***

# TlInAs2

A geometry-optimized TlInAs2 structure (PBE, Alexandria).

Calculated total energy = -14.658 eV per formula unit
Energy relative to the elements = -0.254 eV/f.u.
Volume = 30.76 Å³/atom
D(E_F) = 0.037 states/eV/cell

a b c (Å): 6.2690 6.2690 7.6712
angles (deg): 65.88 65.88 90.00
Closest atoms and distances in Å follow each position.
Positions (direct):
As 0.3750 0.3837 0.7500  2 In 2.68, 2 Tl 2.75
As 0.6163 0.1250 0.2500  2 In 2.68, 2 Tl 2.75
As 0.8750 0.8663 0.7500  2 In 2.68, 2 Tl 2.75
As 0.1337 0.6250 0.2500  2 In 2.68, 2 Tl 2.75
Tl 0.0000 0.0000 0.0000  4 As 2.75
Tl 0.7500 0.2500 0.5000  4 As 2.75
In 0.5000 0.5000 0.0000  4 As 2.68
In 0.2500 0.7500 0.5000  4 As 2.68

***

# Tl2InAs

A geometry-optimized Tl2InAs structure (PBE, Alexandria).

Calculated total energy = -12.059 eV per formula unit
Energy relative to the elements = 0.061 eV/f.u.
Volume = 28.09 Å³/atom
D(E_F) = 1.342 states/eV/cell

a b c (Å): 3.7917 3.7590 8.7477
angles (deg): 64.31 90.00 90.00
Closest atoms and distances in Å follow each position.
Positions (direct):
Tl 0.0000 0.0320 0.9672  1 As 3.36, 4 In 3.38-3.39, 6 Tl 3.67-3.76
Tl 0.5000 0.2128 0.2896  1 In 3.25, 4 As 3.32
In 0.5000 0.7961 0.7025  4 As 2.96, 1 Tl 3.25
As 0.0000 0.4591 0.5407  4 In 2.96

***

# Tl2InAs

A geometry-optimized Tl2InAs structure (PBE, Alexandria).

Calculated total energy = -11.603 eV per formula unit
Energy relative to the elements = 0.518 eV/f.u.
Volume = 27.64 Å³/atom
D(E_F) = 1.150 states/eV/cell

a b c (Å): 5.5824 5.5824 6.4322
angles (deg): 82.78 82.78 33.81
Closest atoms and distances in Å follow each position.
Positions (direct):
As 0.2500 0.2500 0.2500  2 As 3.25, 6 Tl 3.25-3.34, 4 In 3.60
Tl 0.9905 0.9905 0.0112  4 Tl 3.25-3.50, 3 In 3.25-3.45, 3 As 3.25-3.34
Tl 0.5095 0.5095 0.4888  4 Tl 3.25-3.50, 3 In 3.25-3.45, 3 As 3.25-3.34
In 0.7500 0.7500 0.7500  2 In 3.25, 6 Tl 3.25-3.45, 4 As 3.60

***

# Tl2InAs

A geometry-optimized Tl2InAs structure (PBE, Alexandria).

Calculated total energy = -11.759 eV per formula unit
Energy relative to the elements = 0.361 eV/f.u.
Volume = 27.36 Å³/atom
D(E_F) = 1.747 states/eV/cell

a b c (Å): 4.6981 4.6927 4.9640
angles (deg): 90.00 90.00 90.00
Closest atoms and distances in Å follow each position.
Positions (direct):
As 0.5000 0.0000 0.5000  4 In 3.32, 8 Tl 3.42
Tl 0.0000 0.0000 0.0000  4 Tl 3.32, 4 In 3.42, 4 As 3.42
Tl 0.5000 0.5000 0.0000  4 Tl 3.32, 4 As 3.42, 4 In 3.42
In 0.0000 0.5000 0.5000  4 As 3.32, 8 Tl 3.42